VASP calculation (GGA-PBE) on a relaxed TlSiRu2Br crystal.

space group = P4/mmm
energy relative to the elements, uncorrected = 0.840 eV per atom
total moment = 2.94 μB per formula unit

a = 4.5747 Å, b = 4.5747 Å, c = 5.6104 Å
α = 90.00°, β = 90.00°, γ = 90.00°
Fractional coordinates of all 5 atoms:
Tl1 0.0000 0.0000 0.0000
Si1 0.0000 0.0000 0.5000
Ru1 0.0000 0.5000 0.5000
Ru2 0.5000 0.0000 0.5000
Br1 0.5000 0.5000 0.0000

VASP calculation (GGA-PBE) on a relaxed Sc3AlO crystal.

space group = C2/c
energy relative to the elements, uncorrected = -1.283 eV per atom
total moment = 0.00 μB per formula unit

a = 8.0743 Å, b = 8.0743 Å, c = 5.5488 Å
α = 92.10°, β = 92.10°, γ = 99.94°
Fractional coordinates of all 20 atoms:
Sc1 0.0574 0.7182 0.9247
Sc2 0.1835 0.5741 0.4116
Sc3 0.2818 0.9426 0.5753
Sc4 0.3129 0.4445 0.9043
Sc5 0.4259 0.8165 0.0884
Sc6 0.4445 0.3129 0.4043
Sc7 0.5555 0.6871 0.5957
Sc8 0.5741 0.1835 0.9116
Sc9 0.6871 0.5555 0.0957
Sc10 0.7182 0.0574 0.4247
Sc11 0.8165 0.4259 0.5884
Sc12 0.9426 0.2818 0.0753
Al1 0.0885 0.2236 0.5605
Al2 0.2236 0.0885 0.0605
Al3 0.7764 0.9115 0.9395
Al4 0.9115 0.7764 0.4395
O1 0.3065 0.6935 0.7500
O2 0.4372 0.5628 0.2500
O3 0.5628 0.4372 0.7500
O4 0.6935 0.3065 0.2500

VASP calculation (GGA-PBE) on a relaxed PmB2PdPt5 crystal.

space group = P4/mmm
E_form = -36.61 kJ/mol of atoms
total moment = 0.00 μB per formula unit

a = 3.9985 Å, b = 3.9985 Å, c = 9.5372 Å
α = 90.00°, β = 90.00°, γ = 90.00°
Fractional coordinates of all 9 atoms:
Pm1 0.0000 0.0000 0.0000
B1 0.5000 0.5000 0.2237
B2 0.5000 0.5000 0.7763
Pd1 0.0000 0.0000 0.5000
Pt1 0.0000 0.5000 0.3004
Pt2 0.0000 0.5000 0.6996
Pt3 0.5000 0.0000 0.3004
Pt4 0.5000 0.0000 0.6996
Pt5 0.5000 0.5000 0.0000

VASP calculation (GGA-PBE) on a relaxed In2OsW crystal.

space group = P2/m
E_form = 69.63 kJ/mol of atoms
total moment = 0.00 μB per formula unit
polymorph energy (0 for the lowest one) = 0.516 eV/atom

a = 2.9941 Å, b = 4.6502 Å, c = 5.2140 Å
α = 90.00°, β = 95.94°, γ = 90.00°
Fractional coordinates of all 4 atoms:
In1 0.2137 0.0000 0.2544
In2 0.7863 0.0000 0.7456
Os1 0.0000 0.5000 0.5000
W1 0.5000 0.5000 0.0000

VASP calculation (GGA-PBE) on a relaxed La6Ga2Pd crystal.

space group = P-62m
E_form = -43.88 kJ/mol of atoms
total moment = 0.00 μB per formula unit

a = 8.2144 Å, b = 8.2144 Å, c = 4.5804 Å
α = 90.00°, β = 90.00°, γ = 120.00°
Fractional coordinates of all 9 atoms:
La1 0.0000 0.2538 0.0000
La2 0.0000 0.5787 0.5000
La3 0.2538 0.0000 0.0000
La4 0.4213 0.4213 0.5000
La5 0.5787 0.0000 0.5000
La6 0.7462 0.7462 0.0000
Ga1 0.3333 0.6667 0.0000
Ga2 0.6667 0.3333 0.0000
Pd1 0.0000 0.0000 0.5000

VASP calculation (GGA-PBE) on a relaxed PrHoIr crystal.

space group = P-1
E_form = -56.82 kJ/mol of atoms
total moment = 0.00 μB per formula unit
polymorph energy (0 for the lowest one) = 0.020 eV/atom

a = 4.8918 Å, b = 4.9042 Å, c = 6.9014 Å
α = 89.45°, β = 89.74°, γ = 89.99°
Fractional coordinates of all 6 atoms:
Pr1 0.0033 0.4929 0.2500
Pr2 0.9967 0.5071 0.7500
Ho1 0.4972 0.0062 0.7500
Ho2 0.5028 0.9938 0.2500
Ir1 0.0000 0.0000 0.0000
Ir2 0.5000 0.5000 0.5000

VASP calculation (GGA-PBE) on a relaxed Cd7Rh3 crystal.

space group = C2/m
E_form = -10.61 kJ/mol of atoms
total moment = 0.00 μB per formula unit

a = 7.8022 Å, b = 7.8022 Å, c = 5.8143 Å
α = 101.35°, β = 101.35°, γ = 31.94°
Fractional coordinates of all 10 atoms:
Cd1 0.0000 0.0000 0.0000
Cd2 0.2042 0.2042 0.6302
Cd3 0.3871 0.3871 0.1738
Cd4 0.4046 0.4046 0.6792
Cd5 0.5954 0.5954 0.3208
Cd6 0.6129 0.6129 0.8262
Cd7 0.7958 0.7958 0.3698
Rh1 0.0000 0.0000 0.5000
Rh2 0.1913 0.1913 0.1203
Rh3 0.8087 0.8087 0.8797

VASP calculation (GGA-PBE) on a relaxed Ca2NiSb crystal.

space group = R-3m
energy relative to the elements, uncorrected = -0.205 eV per atom
total moment = 0.00 μB per formula unit

a = 8.5334 Å, b = 8.5334 Å, c = 8.5334 Å
α = 26.25°, β = 26.25°, γ = 26.25°
Fractional coordinates of all 4 atoms:
Ca1 0.2369 0.2369 0.2369
Ca2 0.7631 0.7631 0.7631
Ni1 0.5000 0.5000 0.5000
Sb1 0.0000 0.0000 0.0000

VASP calculation (GGA-PBE) on a relaxed BaMgRh crystal.

space group = P4/nmm
E_form = -28.31 kJ/mol of atoms
total moment = 0.00 μB per formula unit

a = 4.3377 Å, b = 4.3377 Å, c = 8.5346 Å
α = 90.00°, β = 90.00°, γ = 90.00°
Fractional coordinates of all 6 atoms:
Ba1 0.2500 0.2500 0.1689
Ba2 0.7500 0.7500 0.8311
Mg1 0.2500 0.7500 0.5000
Mg2 0.7500 0.2500 0.5000
Rh1 0.2500 0.2500 0.6971
Rh2 0.7500 0.7500 0.3029

VASP calculation (GGA-PBE) on a relaxed CdSiSbI2 crystal.

space group = P4/mmm
energy relative to the elements, uncorrected = 0.356 eV per atom
total moment = 0.28 μB per formula unit
polymorph energy (0 for the lowest one) = 0.000 eV/atom

a = 5.5252 Å, b = 5.5252 Å, c = 5.5038 Å
α = 90.00°, β = 90.00°, γ = 90.00°
Fractional coordinates of all 5 atoms:
Cd1 0.0000 0.0000 0.0000
Si1 0.5000 0.5000 0.5000
Sb1 0.5000 0.5000 0.0000
I1 0.0000 0.5000 0.5000
I2 0.5000 0.0000 0.5000

VASP calculation (GGA-PBE) on a relaxed Ce2YCd5 crystal.

space group = I4/mmm
E_form = -21.22 kJ/mol of atoms
total moment = 2.38 μB per formula unit

a = 9.1210 Å, b = 9.1210 Å, c = 9.1210 Å
α = 148.89°, β = 148.89°, γ = 44.58°
Fractional coordinates of all 8 atoms:
Ce1 0.2404 0.2404 0.0000
Ce2 0.7596 0.7596 0.0000
Y1 0.5000 0.5000 0.0000
Cd1 0.0000 0.0000 0.0000
Cd2 0.1160 0.6160 0.5000
Cd3 0.3840 0.8840 0.5000
Cd4 0.6160 0.1160 0.5000
Cd5 0.8840 0.3840 0.5000

VASP calculation (GGA-PBE) on a relaxed Tc2MoRu crystal.

space group = I4/mmm
E_form = 8.69 kJ/mol of atoms
total moment = 0.00 μB per formula unit
polymorph energy (0 for the lowest one) = 0.074 eV/atom

a = 4.8045 Å, b = 4.8045 Å, c = 4.8045 Å
α = 132.54°, β = 132.54°, γ = 69.37°
Fractional coordinates of all 4 atoms:
Tc1 0.2500 0.7500 0.5000
Tc2 0.7500 0.2500 0.5000
Mo1 0.0000 0.0000 0.0000
Ru1 0.5000 0.5000 0.0000